Computed, not measured: a geometry-optimized VRhF3 structure at the GGA+U level of DFT.

Computed properties:
* DFT total energy: -23.66 eV per cell
* crystal system: cubic
* space group: Pm-3m (221)
* density: 4597 kg/m³
* magnetization: 4.12 μB per formula unit

a b c (Å): 4.239 4.239 4.239
angles (deg): 90.00 90.00 90.00
Site moments in Bohr magnetons follow the coordinates.
Fractional coordinates of all 5 atoms:
V: 0.500 0.500 0.500  3.23
Rh: 0.000 0.000 0.000  0.32
F: 0.000 0.500 0.000  0.01
F: 0.000 0.000 0.500  0.01
F: 0.500 0.000 0.000  0.01